#one
Material: SnPPdO
Method: DFT, PBE
State: optimized geometry

a b c (Å): 3.4371 6.7087 6.6062
angles (deg): 90.00 90.00 90.00
Closest atoms and distances in Å follow each position.
Fractional positions:
Sn 0.0000 0.1699 0.0000  2 O 2.08
Sn 0.0000 0.8301 0.5000  2 O 2.08
P 0.0000 0.1952 0.3900  2 Pd 2.24
P 0.0000 0.8048 0.8900  2 Pd 2.24
Pd 0.5000 0.3126 0.5710  2 P 2.24, 1 O 2.36
Pd 0.5000 0.6874 0.0710  2 P 2.24, 1 O 2.36
O 0.5000 0.3302 0.9271  2 Sn 2.08
O 0.5000 0.6698 0.4271  2 Sn 2.08

#two
Material: SnPPdO
Method: DFT, PBE
State: optimized geometry

a b c (Å): 3.9494 3.9494 9.4899
angles (deg): 90.00 90.00 90.00
Closest atoms and distances in Å follow each position.
Fractional positions:
Sn 0.2500 0.2500 0.1198  4 O 2.28
Sn 0.7500 0.7500 0.8802  4 O 2.28
P 0.2500 0.2500 0.6398  4 Pd 2.38
P 0.7500 0.7500 0.3602  4 Pd 2.38
Pd 0.2500 0.7500 0.5000  4 P 2.38
Pd 0.7500 0.2500 0.5000  4 P 2.38
O 0.2500 0.7500 0.0000  4 Sn 2.28
O 0.7500 0.2500 0.0000  4 Sn 2.28

Stability ranking, top entry: #two; the second entry is 22.1 kJ/mol of atoms less favorable.

#one
Material: PmPAuO
Method: DFT, PBE
State: optimized geometry

a b c (Å): 5.9140 5.9140 4.6046
angles (deg): 90.00 90.00 90.00
Closest atoms and distances in Å follow each position.
Fractional positions:
Pm 0.2500 0.7500 0.0000  2 O 2.30
Pm 0.7500 0.2500 0.0000  2 O 2.30
P 0.2500 0.2500 0.0063  2 Au 2.30
P 0.7500 0.7500 0.9937  2 Au 2.30
Au 0.2500 0.2500 0.5065  2 P 2.30
Au 0.7500 0.7500 0.4935  2 P 2.30
O 0.2500 0.7500 0.5000  2 Pm 2.30
O 0.7500 0.2500 0.5000  2 Pm 2.30

#two
Material: PmPAuO
Method: DFT, PBE
State: optimized geometry

a b c (Å): 4.1192 4.1192 8.3865
angles (deg): 90.00 90.00 90.00
Closest atoms and distances in Å follow each position.
Fractional positions:
Pm 0.2500 0.2500 0.1334  4 O 2.34
Pm 0.7500 0.7500 0.8666  4 O 2.34
P 0.2500 0.2500 0.6824  4 Au 2.57
P 0.7500 0.7500 0.3176  4 Au 2.57
Au 0.2500 0.7500 0.5000  4 P 2.57
Au 0.7500 0.2500 0.5000  4 P 2.57
O 0.2500 0.7500 0.0000  4 Pm 2.34
O 0.7500 0.2500 0.0000  4 Pm 2.34

Stability ranking, top entry: #two; the second entry is 53.2 kJ/mol of atoms less favorable.

#one
Material: ErTaPd
Method: DFT, PBE
State: optimized geometry

a b c (Å): 6.5376 6.5376 6.5376
angles (deg): 90.00 90.00 90.00
Closest atoms and distances in Å follow each position.
Fractional positions:
Er 0.0000 0.0000 0.0000  4 Ta 2.83, 4 Pd 2.83
Er 0.0000 0.5000 0.5000  4 Ta 2.83, 4 Pd 2.83
Er 0.5000 0.0000 0.5000  4 Ta 2.83, 4 Pd 2.83
Er 0.5000 0.5000 0.0000  4 Ta 2.83, 4 Pd 2.83
Ta 0.2500 0.2500 0.2500  4 Er 2.83
Ta 0.2500 0.7500 0.7500  4 Er 2.83
Ta 0.7500 0.2500 0.7500  4 Er 2.83
Ta 0.7500 0.7500 0.2500  4 Er 2.83
Pd 0.2500 0.2500 0.7500  4 Er 2.83
Pd 0.2500 0.7500 0.2500  4 Er 2.83
Pd 0.7500 0.2500 0.2500  4 Er 2.83
Pd 0.7500 0.7500 0.7500  4 Er 2.83

#two
Material: ErTaPd
Method: DFT, PBE
State: optimized geometry

a b c (Å): 6.4916 6.4916 6.4916
angles (deg): 90.00 90.00 90.00
Closest atoms and distances in Å follow each position.
Fractional positions:
Er 0.0000 0.0000 0.0000  4 Pd 2.81
Er 0.0000 0.5000 0.5000  4 Pd 2.81
Er 0.5000 0.0000 0.5000  4 Pd 2.81
Er 0.5000 0.5000 0.0000  4 Pd 2.81
Ta 0.0000 0.0000 0.5000  4 Pd 2.81
Ta 0.0000 0.5000 0.0000  4 Pd 2.81
Ta 0.5000 0.0000 0.0000  4 Pd 2.81
Ta 0.5000 0.5000 0.5000  4 Pd 2.81
Pd 0.2500 0.2500 0.2500  4 Ta 2.81, 4 Er 2.81
Pd 0.2500 0.7500 0.7500  4 Ta 2.81, 4 Er 2.81
Pd 0.7500 0.2500 0.7500  4 Ta 2.81, 4 Er 2.81
Pd 0.7500 0.7500 0.2500  4 Ta 2.81, 4 Er 2.81

Stability ranking, top entry: #two; the second entry is 79.0 kJ/mol of atoms less favorable.